# 1
Entry from the Alexandria database: SmNp2NiN4 after structural relaxation (PBE-GGA).

Geometry as CIF:
```
data_SmNp2NiN4
_chemical_formula_sum 'Sm4 Np8 Ni4 N16'
_cell_length_a 3.455
_cell_length_b 11.133
_cell_length_c 11.358
_cell_angle_alpha 90.00
_cell_angle_beta 90.00
_cell_angle_gamma 90.00
_symmetry_space_group_name_H-M 'C m c m'
_symmetry_Int_Tables_number 63
_symmetry_space_group_name_Hall '-C 2c 2'
loop_
_atom_site_label
_atom_site_type_symbol
_atom_site_fract_x
_atom_site_fract_y
_atom_site_fract_z
Sm1 Sm 0.000 0.104 0.250
Np1 Np 0.000 0.371 0.058
Ni1 Ni 0.000 0.162 0.750
N1 N 0.000 0.000 0.000
N2 N 0.000 0.265 0.610
N3 N 0.000 0.444 0.250
```

=====

# 2
Entry from the Alexandria database: SrNp2NiN4 after structural relaxation (PBE-GGA).

Geometry as CIF:
```
data_SrNp2NiN4
_chemical_formula_sum 'Sr4 Np8 Ni4 N16'
_cell_length_a 3.494
_cell_length_b 11.418
_cell_length_c 11.385
_cell_angle_alpha 90.00
_cell_angle_beta 90.00
_cell_angle_gamma 90.00
_symmetry_space_group_name_H-M 'C m c m'
_symmetry_Int_Tables_number 63
_symmetry_space_group_name_Hall '-C 2c 2'
loop_
_atom_site_label
_atom_site_type_symbol
_atom_site_fract_x
_atom_site_fract_y
_atom_site_fract_z
Sr1 Sr 0.000 0.099 0.250
Np1 Np 0.000 0.370 0.058
Ni1 Ni 0.000 0.171 0.750
N1 N 0.000 0.000 0.000
N2 N 0.000 0.256 0.601
N3 N 0.000 0.423 0.250
```

=====

# 3
Entry from the Alexandria database: Th2NpNiN5 after structural relaxation (PBE-GGA).

Geometry as CIF:
```
data_Th2NpNiN5
_chemical_formula_sum 'Th8 Np4 Ni4 N20'
_cell_length_a 3.466
_cell_length_b 13.615
_cell_length_c 10.513
_cell_angle_alpha 90.00
_cell_angle_beta 90.00
_cell_angle_gamma 90.00
_symmetry_space_group_name_H-M 'C m c 21'
_symmetry_Int_Tables_number 36
loop_
_symmetry_equiv_pos_as_xyz
'x,y,z'
'-x,-y,z+1/2'
'-x,y,z'
'x,-y,z+1/2'
'x+1/2,y+1/2,z'
'-x+1/2,-y+1/2,z+1/2'
'-x+1/2,y+1/2,z'
'x+1/2,-y+1/2,z+1/2'
loop_
_atom_site_label
_atom_site_type_symbol
_atom_site_fract_x
_atom_site_fract_y
_atom_site_fract_z
Th1 Th 0.000 0.105 0.000
Th2 Th 0.000 0.133 0.626
Np1 Np 0.000 0.196 0.329
Ni1 Ni 0.000 0.464 0.761
N1 N 0.000 0.048 0.365
N2 N 0.000 0.284 0.973
N3 N 0.000 0.318 0.688
N4 N 0.000 0.349 0.315
N5 N 0.000 0.491 0.087
```

=====

# 4
Entry from the Alexandria database: NpU2NiN4 after structural relaxation (PBE-GGA).

Geometry as CIF:
```
data_NpU2NiN4
_chemical_formula_sum 'Np4 U8 Ni4 N16'
_cell_length_a 3.442
_cell_length_b 11.146
_cell_length_c 11.264
_cell_angle_alpha 90.00
_cell_angle_beta 90.00
_cell_angle_gamma 90.00
_symmetry_space_group_name_H-M 'C m c m'
_symmetry_Int_Tables_number 63
_symmetry_space_group_name_Hall '-C 2c 2'
loop_
_atom_site_label
_atom_site_type_symbol
_atom_site_fract_x
_atom_site_fract_y
_atom_site_fract_z
Np1 Np 0.000 0.109 0.250
U1 U 0.000 0.371 0.059
Ni1 Ni 0.000 0.161 0.750
N1 N 0.000 0.000 0.000
N2 N 0.000 0.271 0.614
N3 N 0.000 0.454 0.250
```

=====

no.,final energy (eV/cell)
1,-311.9
2,-296.9
3,-337.5
4,-330.7